# 1
DFT (meta-GGA SCAN) results for NbSbIN2 at its PBEsol-relaxed geometry.

```
NbSbIN2
1.0
4.0771 0.0000 0.0000
0.0000 4.0771 0.0000
0.0000 0.0000 5.9629
Nb Sb I N
1 1 1 2
Direct
0.0000 0.0000 0.0000
0.5000 0.5000 0.5000
0.5000 0.5000 0.0000
0.0000 0.5000 0.5000
0.5000 0.0000 0.5000
```

Values from the calculation:
Symmetry: P4/mmm (123)
DOS at the Fermi energy (states/eV per atom): 0.362
Calculated total energy (eV/atom): -23.547
Raw formation energy (eV/atom): 1.596
Total magnetization (μB/cell): 2.4

# 2
DFT (meta-GGA SCAN) results for LaTiPCl2 at its PBEsol-relaxed geometry.

```
LaTiPCl2
1.0
5.2956 0.0000 0.0000
0.0000 5.2956 0.0000
0.0000 0.0000 5.7272
La Ti P Cl
1 1 1 2
Direct
0.0000 0.0000 0.0000
0.5000 0.5000 0.5000
0.0000 0.0000 0.5000
0.0000 0.5000 0.0000
0.5000 0.0000 0.0000
```

Values from the calculation:
Symmetry: P4/mmm (123)
DOS at the Fermi energy (states/eV per atom): 0.353
Calculated total energy (eV/atom): -17.809
Raw formation energy (eV/atom): -0.711
Total magnetization (μB/cell): 2.0

Among the records above, which one has the highest raw formation energy?
NbSbIN2

Look up the total magnetization of the first one.
2.4 μB/cell

Among the records above, which one has the highest raw formation energy?
NbSbIN2

What did the first record say?
DFT (meta-GGA SCAN) results for NbSbIN2 at its PBEsol-relaxed geometry.

```
NbSbIN2
1.0
4.0771 0.0000 0.0000
0.0000 4.0771 0.0000
0.0000 0.0000 5.9629
Nb Sb I N
1 1 1 2
Direct
0.0000 0.0000 0.0000
0.5000 0.5000 0.5000
0.5000 0.5000 0.0000
0.0000 0.5000 0.5000
0.5000 0.0000 0.5000
```

Values from the calculation:
Symmetry: P4/mmm (123)
DOS at the Fermi energy (states/eV per atom): 0.362
Calculated total energy (eV/atom): -23.547
Raw formation energy (eV/atom): 1.596
Total magnetization (μB/cell): 2.4